{
  "formula": "SbAsW",
  "functional": "PBE",
  "state": "relaxed",
  "dos_ef_per_ev_cell": 1.3,
  "e_form_raw_ev_per_fu": 1.26,
  "lattice_angstrom": [[-3.569, 7.060, 0.697], [-4.623, 5.939, -1.881], [-2.064, -0.413, 2.141]],
  "species": ["W", "As", "Sb"],
  "frac_coords": [[0.657, 0.657, 0.343], [0.034, 0.034, 0.966], [0.309, 0.309, 0.691]]
}

***

{
  "formula": "B5C7",
  "functional": "PBE",
  "state": "relaxed",
  "dos_ef_per_ev_cell": 0.7,
  "formation_enthalpy_0k_kj_per_mol_atoms": 30.54,
  "lattice_angstrom": [[-0.526, 2.208, -1.226], [-2.378, -0.574, -0.013], [-1.442, 5.739, 10.955]],
  "species": ["C", "C", "C", "C", "C", "C", "C", "B", "B", "B", "B", "B"],
  "frac_coords": [[0.500, 0.500, 0.498], [0.000, 0.500, 0.741], [0.000, 0.500, 0.079], [0.000, 0.000, 0.011], [0.000, 0.500, 0.422], [0.000, 0.000, 0.352], [0.500, 0.000, 0.567], [0.000, 0.000, 0.651], [0.500, 0.000, 0.927], [0.500, 0.500, 0.817], [0.500, 0.500, 0.162], [0.500, 0.000, 0.273]]
}

***

{
  "formula": "Mg5Sn3Cl16",
  "functional": "PBE",
  "state": "relaxed",
  "dos_ef_per_ev_cell": 0.0,
  "e_form_raw_ev_per_fu": -35.68,
  "lattice_angstrom": [[7.997, 0.200, 0.103], [4.077, 6.883, 0.103], [0.095, 0.056, 11.901]],
  "species": ["Cl", "Cl", "Cl", "Cl", "Cl", "Cl", "Cl", "Cl", "Cl", "Cl", "Cl", "Cl", "Cl", "Cl", "Cl", "Cl", "Mg", "Mg", "Mg", "Mg", "Mg", "Sn", "Sn", "Sn"],
  "frac_coords": [[0.172, 0.172, 0.898], [0.655, 0.193, 0.905], [0.193, 0.655, 0.905], [0.821, 0.821, 0.437], [0.015, 0.015, 0.685], [0.354, 0.846, 0.399], [0.481, 0.481, 0.144], [0.032, 0.032, 0.164], [0.488, 0.958, 0.658], [0.647, 0.647, 0.905], [0.518, 0.518, 0.659], [0.477, 0.039, 0.148], [0.039, 0.477, 0.148], [0.846, 0.354, 0.399], [0.958, 0.488, 0.658], [0.313, 0.313, 0.409], [0.175, 0.175, 0.281], [0.330, 0.330, 0.012], [0.335, 0.828, 0.790], [0.828, 0.335, 0.790], [0.659, 0.659, 0.525], [0.164, 0.673, 0.290], [0.673, 0.164, 0.290], [0.826, 0.826, 0.786]]
}

***

{
  "formula": "Be2SiTe",
  "functional": "PBE",
  "state": "relaxed",
  "dos_ef_per_ev_cell": 2.8,
  "e_form_raw_ev_per_fu": 3.29,
  "lattice_angstrom": [[0.000, 3.137, 3.137], [3.137, 0.000, 3.137], [3.137, 3.137, 0.000]],
  "species": ["Si", "Be", "Be", "Te"],
  "frac_coords": [[0.000, 0.000, 0.000], [0.250, 0.250, 0.250], [0.750, 0.750, 0.750], [0.500, 0.500, 0.500]]
}

***

{
  "formula": "AlRhCl2",
  "functional": "PBE",
  "state": "relaxed",
  "dos_ef_per_ev_cell": 1.0,
  "e_form_raw_ev_per_fu": -1.66,
  "lattice_angstrom": [[-2.349, -3.071, 2.309], [0.274, -4.381, 1.009], [3.092, 0.257, 5.979]],
  "species": ["Rh", "Al", "Cl", "Cl"],
  "frac_coords": [[0.549, 0.549, 0.421], [0.265, 0.265, 0.334], [0.936, 0.936, 0.111], [0.751, 0.751, 0.635]]
}

***

{
  "formula": "AcPrBi2O8",
  "functional": "PBE",
  "state": "relaxed",
  "e_form_raw_ev_per_fu": -23.07,
  "lattice_angstrom": [[-1.286, 5.411, 0.897], [-3.168, 0.019, -4.658], [-2.504, -4.372, 5.091]],
  "species": ["O", "O", "O", "O", "O", "O", "O", "O", "Pr", "Ac", "Bi", "Bi"],
  "frac_coords": [[0.657, 0.218, 0.820], [0.398, 0.343, 0.180], [0.163, 0.602, 0.820], [0.093, 0.022, 0.688], [0.595, 0.666, 0.688], [0.978, 0.405, 0.312], [0.334, 0.907, 0.312], [0.782, 0.837, 0.180], [0.000, 0.000, 0.000], [0.750, 0.250, 0.500], [0.500, 0.500, 0.000], [0.250, 0.750, 0.500]]
}